The following is a PBE with a Hubbard U calculation of a relaxed structure of CsCo2CuF8, from Alexandria via LeMat-Bulk.

Calculated values
Total magnetic moment (μB per cell): 8.0
Total energy (eV per cell): -53.57
SG: No. 2

Lattice parameters (Å, degrees): 5.284 5.785 6.983 104.74 92.41 96.96
Fractional coordinates of all 12 atoms:
Cs  0.000  0.000  0.000
Co  0.447  0.596  0.227
Co  0.553  0.404  0.773
Cu  0.000  0.000  0.500
F  0.156  0.761  0.329
F  0.299  0.567  0.956
F  0.317  0.116  0.674
F  0.353  0.330  0.314
F  0.647  0.670  0.686
F  0.683  0.884  0.326
F  0.701  0.433  0.044
F  0.844  0.239  0.671